Entry from Alexandria: crystalline Tb3S3N at its relaxed geometry (PBE).

a = 3.8527 Å, b = 12.0187 Å, c = 12.9642 Å
α = 90.00°, β = 90.00°, γ = 90.00°
Closest atoms and distances in Å follow each position.
Atoms (fractional coordinates):
Tb 0.7500 0.4517 0.3573  2 N 2.30
Tb 0.7500 0.7888 0.8596  1 N 2.27
Tb 0.2500 0.7112 0.3596  1 N 2.27
Tb 0.7500 0.9517 0.1427  2 N 2.30
Tb 0.7500 0.2888 0.6404  1 N 2.27
Tb 0.7500 0.4346 0.8676  1 N 2.19
Tb 0.2500 0.5483 0.6427  2 N 2.30
Tb 0.2500 0.0483 0.8573  2 N 2.30
Tb 0.2500 0.2112 0.1404  1 N 2.27
Tb 0.2500 0.0654 0.3676  1 N 2.19
Tb 0.7500 0.9346 0.6324  1 N 2.19
Tb 0.2500 0.5654 0.1324  1 N 2.19
S 0.7500 0.9062 0.4000  3 Tb 2.75-3.03
S 0.2500 0.2762 0.8081  5 Tb 2.81-2.91
S 0.7500 0.2238 0.3081  5 Tb 2.81-2.91
S 0.2500 0.5938 0.9000  3 Tb 2.75-3.03
S 0.7500 0.6330 0.4904  5 Tb 2.73-2.94
S 0.2500 0.3670 0.5096  5 Tb 2.73-2.94
S 0.2500 0.0938 0.6000  3 Tb 2.75-3.03
S 0.2500 0.8670 0.9904  5 Tb 2.73-2.94
S 0.2500 0.7762 0.6919  5 Tb 2.81-2.91
S 0.7500 0.1330 0.0096  5 Tb 2.73-2.94
S 0.7500 0.4062 0.1000  3 Tb 2.75-3.03
S 0.7500 0.7238 0.1919  5 Tb 2.81-2.91
N 0.7500 0.4656 0.7014  4 Tb 2.19-2.30
N 0.2500 0.0344 0.2014  4 Tb 2.19-2.30
N 0.7500 0.9656 0.7986  4 Tb 2.19-2.30
N 0.2500 0.5344 0.2986  4 Tb 2.19-2.30

## Properties
total magnetic moment	0.00	Bohr magnetons per cell
raw formation energy	-1988	meV/atom
space-group type	No. 62